Below is an optimized crystal structure of BaPdS3, with properties calculated at the PBE-GGA level.

Values from the calculation:
The value obtained for the total energy is -3.00 eV per atom. The calculation puts the magnetization at 0.00 μB per atom.

Cell and atoms, written as POSCAR:
```
BaPdS3
1.0
5.803 0.000 0.000
0.000 5.803 0.000
0.000 0.000 5.803
Ba Pd S
1 1 3
Cartesian
0.000 0.000 0.000
2.901 2.901 2.901
0.000 0.000 2.901
0.000 2.901 0.000
2.901 0.000 0.000
```

Below is an optimized crystal structure of BaPdS5, with properties calculated at the PBE-GGA level.

Values from the calculation:
The value obtained for the total energy is -4.38 eV per atom. The calculation puts the magnetization at 0.00 μB per atom.

Cell and atoms, written as POSCAR:
```
BaPdS5
1.0
3.126 -3.946 0.000
3.126 3.946 0.000
-2.535 0.000 15.831
Ba Pd S
2 2 10
Cartesian
1.225 3.107 11.873
2.492 -3.107 3.958
0.000 0.000 0.000
-1.268 0.000 7.915
0.368 1.844 14.845
2.905 1.846 1.021
2.492 1.794 3.958
2.080 1.846 6.894
2.081 1.844 8.901
1.635 -1.844 6.930
1.637 -1.846 8.937
1.225 -1.794 11.873
0.812 -1.846 14.810
3.349 -1.844 0.985
```

Below is an optimized crystal structure of BaPdS2, with properties calculated at the PBE-GGA level.

Values from the calculation:
The value obtained for the total energy is -4.13 eV per atom. The calculation puts the magnetization at 0.22 μB per atom.

Cell and atoms, written as POSCAR:
```
BaPdS2
1.0
3.873 0.000 0.000
-1.937 3.355 0.000
0.000 0.000 24.935
Ba Pd S
3 3 6
Cartesian
0.000 0.000 0.000
0.000 2.236 16.624
1.937 1.118 8.312
0.000 0.000 12.468
0.000 2.236 4.156
1.937 1.118 20.779
0.000 0.000 3.038
0.000 0.000 21.897
0.000 2.236 13.585
0.000 2.236 19.662
1.937 1.118 5.274
1.937 1.118 11.350
```

Below is an optimized crystal structure of BaPd2S2, with properties calculated at the PBE-GGA level.

Values from the calculation:
The value obtained for the total energy is -4.90 eV per atom. The calculation puts the magnetization at 0.00 μB per atom.

Cell and atoms, written as POSCAR:
```
BaPd2S2
1.0
4.224 0.000 0.000
0.000 4.224 0.000
0.000 0.000 11.729
Ba Pd S
2 4 4
Cartesian
0.000 0.000 0.000
2.112 2.112 5.864
0.000 2.112 2.932
0.000 2.112 8.797
2.112 0.000 2.932
2.112 0.000 8.797
0.000 0.000 4.274
0.000 0.000 7.455
2.112 2.112 1.591
2.112 2.112 10.138
```

Below is an optimized crystal structure of Ba6Pd2S, with properties calculated at the PBE-GGA level.

Values from the calculation:
The value obtained for the total energy is -3.55 eV per atom. The calculation puts the magnetization at 0.00 μB per atom.

Cell and atoms, written as POSCAR:
```
Ba6Pd2S
1.0
7.849 0.000 0.000
0.000 8.404 0.000
-6.996 0.000 11.890
Ba Pd S
12 4 2
Cartesian
-1.084 0.532 2.855
-4.582 3.670 8.800
1.471 5.732 1.076
-2.027 6.875 7.021
2.609 1.498 0.784
-0.889 2.704 6.729
1.742 5.701 5.161
-1.755 6.906 11.106
2.881 1.530 4.869
-0.617 2.673 10.814
5.435 4.734 3.090
1.938 7.872 9.035
-2.928 0.894 9.312
0.569 3.308 3.366
0.284 5.096 8.524
3.782 7.510 2.579
0.000 0.000 0.000
-3.498 4.202 5.945
```

Below is an optimized crystal structure of BaPdS2, with properties calculated at the PBE-GGA level.

Values from the calculation:
The value obtained for the total energy is -4.52 eV per atom. The calculation puts the magnetization at 0.00 μB per atom.

Cell and atoms, written as POSCAR:
```
BaPdS2
1.0
5.447 0.000 0.000
-2.724 4.717 0.000
0.000 0.000 16.061
Ba Pd S
3 3 6
Cartesian
0.000 0.000 0.000
0.000 3.145 10.708
2.724 1.572 5.354
0.000 0.000 8.031
0.000 3.145 2.677
2.724 1.572 13.384
0.000 0.000 5.833
0.000 0.000 10.229
0.000 3.145 0.479
0.000 3.145 4.875
2.724 1.572 11.187
2.724 1.572 15.582
```

Below is an optimized crystal structure of BaPdS2, with properties calculated at the PBE-GGA level.

Values from the calculation:
The value obtained for the total energy is -4.73 eV per atom. The calculation puts the magnetization at 0.00 μB per atom.

Cell and atoms, written as POSCAR:
```
BaPdS2
1.0
5.629 0.000 0.000
0.000 5.629 0.000
0.000 0.000 14.238
Ba Pd S
4 4 8
Cartesian
0.000 0.000 0.000
0.000 2.814 3.559
2.814 0.000 10.678
2.814 2.814 7.119
0.000 0.000 7.119
0.000 2.814 10.678
2.814 0.000 3.559
2.814 2.814 0.000
0.743 1.407 8.899
1.407 3.557 12.458
1.407 4.885 5.339
2.071 1.407 1.780
3.557 4.221 1.780
4.221 0.743 5.339
4.221 2.071 12.458
4.885 4.221 8.899
```

Below is an optimized crystal structure of BaSiPd2S, with properties calculated at the PBE-GGA level.

Values from the calculation:
The value obtained for the total energy is -4.70 eV per atom. The calculation puts the magnetization at 0.06 μB per atom.

Cell and atoms, written as POSCAR:
```
BaSiPd2S
1.0
4.493 0.000 0.000
0.000 4.493 0.000
0.000 0.000 6.961
Ba Si Pd S
1 1 2 1
Cartesian
0.000 0.000 0.000
0.000 0.000 3.481
0.000 2.247 3.481
2.247 0.000 3.481
2.247 2.247 0.000
```

Below is an optimized crystal structure of BaSr2PdS, with properties calculated at the PBE-GGA level.

Values from the calculation:
The value obtained for the total energy is -3.42 eV per atom. The calculation puts the magnetization at 0.00 μB per atom.

Cell and atoms, written as POSCAR:
```
BaSr2PdS
1.0
5.790 0.000 0.000
0.000 5.790 0.000
0.000 0.000 5.144
Ba Sr Pd S
1 2 1 1
Cartesian
0.000 0.000 0.000
0.000 2.895 2.572
2.895 0.000 2.572
2.895 2.895 0.000
2.895 2.895 2.572
```

Below is an optimized crystal structure of BaTe2PdS4, with properties calculated at the PBE-GGA level.

Values from the calculation:
The value obtained for the total energy is -4.18 eV per atom. The calculation puts the magnetization at 0.00 μB per atom.

Cell and atoms, written as POSCAR:
```
BaTe2PdS4
1.0
7.256 0.000 0.000
0.000 7.256 0.000
0.000 0.000 7.640
Ba Te Pd S
2 4 2 8
Cartesian
0.000 0.000 0.000
3.628 3.628 3.820
0.000 3.628 1.910
0.000 3.628 5.730
3.628 0.000 1.910
3.628 0.000 5.730
0.000 0.000 3.820
3.628 3.628 0.000
1.479 1.479 2.635
1.479 5.777 5.005
2.149 2.149 6.455
2.149 5.107 1.185
5.107 2.149 1.185
5.107 5.107 6.455
5.777 1.479 5.005
5.777 5.777 2.635
```

Below is an optimized crystal structure of BaThPdS3, with properties calculated at the PBE-GGA level.

Values from the calculation:
The value obtained for the total energy is -6.16 eV per atom. The calculation puts the magnetization at 0.00 μB per atom.

Cell and atoms, written as POSCAR:
```
BaThPdS3
1.0
8.625 0.000 0.000
0.000 4.136 0.000
-2.507 0.000 8.812
Ba Th Pd S
2 2 2 6
Cartesian
1.039 1.034 2.220
5.079 3.102 6.593
0.638 3.102 7.239
5.480 1.034 1.574
-0.699 1.034 5.345
6.817 3.102 3.467
-1.238 1.034 7.726
0.659 3.102 4.537
3.467 3.102 1.339
2.651 1.034 7.474
5.459 1.034 4.276
7.356 3.102 1.086
```

Number 1: raw formation energy 899.3 meV/atom, mass density 2889 kg/m3. Number 2: raw formation energy -418.4 meV/atom, mass density 3436 kg/m3. Number 3: raw formation energy -283.8 meV/atom, mass density 4734 kg/m3. Number 4: raw formation energy -784.1 meV/atom, mass density 6576 kg/m3. Number 5: raw formation energy -660.3 meV/atom, mass density 4526 kg/m3. Number 6: raw formation energy -678.6 meV/atom, mass density 3716 kg/m3. Number 7: raw formation energy -887.7 meV/atom, mass density 4534 kg/m3. Number 8: raw formation energy -333.1 meV/atom, mass density 4848 kg/m3. Number 9: raw formation energy -502.9 meV/atom, mass density 4344 kg/m3. Number 10: raw formation energy -440.4 meV/atom, mass density 5178 kg/m3. Number 11: raw formation energy -1674.7 meV/atom, mass density 6043 kg/m3.